1.
Here is an optimized crystal structure of RbTeH from the Alexandria database. Energies are from GGA-PBE.

a b c (Å): 5.273 5.273 8.537
angles (deg): 90.00 90.00 90.00
Space group I4mm (No. 107)
Unique sites:
Rb1 0.000 0.000 0.000 [2 per cell]
Te1 0.000 0.000 0.553 [2 per cell]
H1 0.000 0.000 0.356 [2 per cell]

Summary:
Total magnetization in μB per cell: 0.00
Theoretical density in g cm⁻³: 3.0
DFT total energy in eV/atom: -2.974

2.
Here is an optimized crystal structure of ZrCrN2 from the Alexandria database. Energies are from GGA-PBE.

a b c (Å): 4.654 4.654 9.570
angles (deg): 90.00 90.00 90.00
Space group I-42d (No. 122)
Unique sites:
Zr1 0.000 0.000 0.000 [4 per cell]
Cr1 0.000 0.000 0.500 [4 per cell]
N1 0.213 0.250 0.625 [8 per cell]

Summary:
Total magnetization in μB per cell: 7.63
Theoretical density in g cm⁻³: 5.5
Formation energy from raw total energies in eV/f.u.: -3.36
DFT total energy in eV/atom: -9.546

3.
Here is an optimized crystal structure of Ag4PdAu2 from the Alexandria database. Energies are from GGA-PBE.

a b c (Å): 2.930 21.926 4.075
angles (deg): 90.00 90.00 90.00
Space group Cmmm (No. 65)
Unique sites:
Ag1 0.000 0.064 0.000 [4 per cell]
Ag2 0.000 0.368 0.500 [4 per cell]
Pd1 0.000 0.500 0.500 [2 per cell]
Au1 0.000 0.196 0.000 [4 per cell]

Summary:
Total magnetization in μB per cell: 0.00
Theoretical density in g cm⁻³: 11.8
Relative energy among the computed polymorphs in meV/atom: 0
Calculated formation energy in meV per atom: 19
DFT total energy in eV/atom: -3.288

4.
Here is an optimized crystal structure of Tb3Pm6Nd2Ho from the Alexandria database. Energies are from GGA-PBE.

a b c (Å): 6.279 10.873 11.994
angles (deg): 90.00 100.05 90.00
Space group C2/m (No. 12)
Unique sites:
Tb1 0.000 0.000 0.000 [2 per cell]
Tb2 0.000 0.334 0.000 [4 per cell]
Pm1 0.248 0.500 0.248 [4 per cell]
Pm2 0.250 0.166 0.248 [8 per cell]
Nd1 0.000 0.167 0.500 [4 per cell]
Ho1 0.000 0.500 0.500 [2 per cell]

Summary:
Total magnetization in μB per cell: 0.00
Theoretical density in g cm⁻³: 7.4
Calculated formation energy in meV per atom: 13
DFT total energy in eV/atom: -4.696

5.
Here is an optimized crystal structure of KPN2F from the Alexandria database. Energies are from GGA-PBE.

a b c (Å): 3.398 3.398 5.247
angles (deg): 90.00 90.00 90.00
Space group P4/mmm (No. 123)
Unique sites:
K1 0.000 0.000 0.000 [1 per cell]
P1 0.500 0.500 0.500 [1 per cell]
N1 0.000 0.500 0.500 [2 per cell]
F1 0.500 0.500 0.000 [1 per cell]

Summary:
Total magnetization in μB per cell: 0.46
Theoretical density in g cm⁻³: 3.2
Relative energy among the computed polymorphs in meV/atom: 0
Formation energy from raw total energies in eV/f.u.: -1.73
DFT total energy in eV/atom: -5.352

6.
Here is an optimized crystal structure of Tb2DyMg8 from the Alexandria database. Energies are from GGA-PBE.

a b c (Å): 5.278 7.722 14.234
angles (deg): 90.00 90.00 90.00
Space group Immm (No. 71)
Unique sites:
Tb1 0.000 0.000 0.211 [4 per cell]
Dy1 0.000 0.000 0.500 [2 per cell]
Mg1 0.000 0.208 0.000 [4 per cell]
Mg2 0.000 0.307 0.365 [8 per cell]
Mg3 0.000 0.500 0.154 [4 per cell]

Summary:
Total magnetization in μB per cell: 0.00
Theoretical density in g cm⁻³: 3.9
Calculated formation energy in meV per atom: 53
DFT total energy in eV/atom: -2.367

What is the formula in the fifth record? KPN2F